Record 1
The following is a DFT calculation (PBE-GGA) of a relaxed Li3Tb2ErPb3 crystal.

Final energy = -34.841 eV/cell
M_tot = 0.00 μB per cell

Unit cell a=4.7972 b=4.7972 c=10.7954 alpha=90.00 beta=90.00 gamma=120.00
Space group P-6m2 (No. 187)
Inequivalent atoms, fractional coordinates:
1 Li 0.0000 0.0000 0.0000 (multiplicity 1)
2 Li 0.3333 0.6667 0.3119 (multiplicity 2)
3 Tb 0.6667 0.3333 0.1662 (multiplicity 2)
4 Er 0.6667 0.3333 0.5000 (multiplicity 1)
5 Pb 0.0000 0.0000 0.3310 (multiplicity 2)
6 Pb 0.3333 0.6667 0.0000 (multiplicity 1)


Record 2
The following is a DFT calculation (PBE-GGA) of a relaxed Li3TbEr2Pb3 crystal.

Final energy = -34.718 eV/cell
M_tot = 0.01 μB per cell

Unit cell a=4.7763 b=4.7763 c=10.8028 alpha=90.00 beta=90.00 gamma=120.00
Space group P-6m2 (No. 187)
Inequivalent atoms, fractional coordinates:
1 Li 0.0000 0.0000 0.0000 (multiplicity 1)
2 Li 0.3333 0.6667 0.3092 (multiplicity 2)
3 Tb 0.6667 0.3333 0.5000 (multiplicity 1)
4 Er 0.6667 0.3333 0.1637 (multiplicity 2)
5 Pb 0.0000 0.0000 0.3254 (multiplicity 2)
6 Pb 0.3333 0.6667 0.0000 (multiplicity 1)


Record 3
The following is a DFT calculation (PBE-GGA) of a relaxed LiErPd crystal.

Final energy = -51.857 eV/cell
M_tot = 0.01 μB per cell

Unit cell a=6.459 b=6.459 c=6.459 alpha=90.00 beta=90.00 gamma=90.00
Space group F-43m (No. 216)
Inequivalent atoms, fractional coordinates:
1 Li 0.000 0.000 0.000 (multiplicity 4)
2 Er 0.000 0.000 0.500 (multiplicity 4)
3 Pd 0.250 0.250 0.750 (multiplicity 4)


Record 4
The following is a DFT calculation (PBE-GGA) of a relaxed LiErPd2 crystal.

Final energy = -19.825 eV/cell
M_tot = 0.00 μB per cell

Unit cell a=3.408 b=3.408 c=6.045 alpha=90.00 beta=90.00 gamma=90.00
Space group P4/mmm (No. 123)
Inequivalent atoms, fractional coordinates:
1 Li 0.000 0.000 0.000 (multiplicity 1)
2 Er 0.000 0.000 0.500 (multiplicity 1)
3 Pd 0.500 0.500 0.232 (multiplicity 2)


Record 5
The following is a DFT calculation (PBE-GGA) of a relaxed LiEr2Pd5 crystal.

Final energy = -87.812 eV/cell
M_tot = 0.00 μB per cell

Unit cell a=5.916 b=5.916 c=7.881 alpha=90.00 beta=90.00 gamma=90.00
Space group I4/mmm (No. 139)
Inequivalent atoms, fractional coordinates:
1 Li 0.000 0.000 0.000 (multiplicity 2)
2 Er 0.000 0.500 0.000 (multiplicity 4)
3 Pd 0.000 0.000 0.500 (multiplicity 2)
4 Pd 0.250 0.250 0.250 (multiplicity 8)


Record 6
The following is a DFT calculation (PBE-GGA) of a relaxed LiErPd crystal.

Final energy = -47.110 eV/cell
M_tot = 0.01 μB per cell

Unit cell a=6.502 b=6.502 c=6.502 alpha=90.00 beta=90.00 gamma=90.00
Space group F-43m (No. 216)
Inequivalent atoms, fractional coordinates:
1 Li 0.000 0.000 0.000 (multiplicity 4)
2 Er 0.250 0.250 0.250 (multiplicity 4)
3 Pd 0.000 0.000 0.500 (multiplicity 4)


Record 7
The following is a DFT calculation (PBE-GGA) of a relaxed LiErPdS3 crystal.

Final energy = -122.642 eV/cell
M_tot = 0.02 μB per cell

Unit cell a=3.772 b=12.756 c=10.043 alpha=90.00 beta=90.00 gamma=90.00
Space group Cmcm (No. 63)
Inequivalent atoms, fractional coordinates:
1 Li 0.000 0.216 0.250 (multiplicity 4)
2 Er 0.000 0.000 0.000 (multiplicity 4)
3 Pd 0.000 0.494 0.750 (multiplicity 4)
4 S 0.000 0.107 0.750 (multiplicity 4)
5 S 0.000 0.361 0.581 (multiplicity 8)


Record 8
The following is a DFT calculation (PBE-GGA) of a relaxed LiErPdSe3 crystal.

Final energy = -114.048 eV/cell
M_tot = 0.01 μB per cell

Unit cell a=3.880 b=13.900 c=10.164 alpha=90.00 beta=90.00 gamma=90.00
Space group Cmcm (No. 63)
Inequivalent atoms, fractional coordinates:
1 Li 0.000 0.202 0.250 (multiplicity 4)
2 Er 0.000 0.000 0.000 (multiplicity 4)
3 Pd 0.000 0.490 0.750 (multiplicity 4)
4 Se 0.000 0.106 0.750 (multiplicity 4)
5 Se 0.000 0.360 0.577 (multiplicity 8)


Record 9
The following is a DFT calculation (PBE-GGA) of a relaxed LiPmEr crystal.

Final energy = -38.892 eV/cell
M_tot = 0.18 μB per cell

Unit cell a=7.160 b=7.160 c=7.160 alpha=90.00 beta=90.00 gamma=90.00
Space group F-43m (No. 216)
Inequivalent atoms, fractional coordinates:
1 Li 0.000 0.000 0.000 (multiplicity 4)
2 Pm 0.250 0.250 0.250 (multiplicity 4)
3 Er 0.250 0.250 0.750 (multiplicity 4)


Record 10
The following is a DFT calculation (PBE-GGA) of a relaxed LiErPt crystal.

Final energy = -56.144 eV/cell
M_tot = 0.01 μB per cell

Unit cell a=6.106 b=6.106 c=6.106 alpha=90.00 beta=90.00 gamma=90.00
Space group F-43m (No. 216)
Inequivalent atoms, fractional coordinates:
1 Li 0.000 0.000 0.000 (multiplicity 4)
2 Er 0.250 0.250 0.750 (multiplicity 4)
3 Pt 0.250 0.250 0.250 (multiplicity 4)


Record 11
The following is a DFT calculation (PBE-GGA) of a relaxed LiErPt2 crystal.

Final energy = -22.512 eV/cell
M_tot = 0.00 μB per cell

Unit cell a=3.424 b=3.424 c=5.906 alpha=90.00 beta=90.00 gamma=90.00
Space group P4/mmm (No. 123)
Inequivalent atoms, fractional coordinates:
1 Li 0.000 0.000 0.000 (multiplicity 1)
2 Er 0.000 0.000 0.500 (multiplicity 1)
3 Pt 0.500 0.500 0.232 (multiplicity 2)


Record 12
The following is a DFT calculation (PBE-GGA) of a relaxed LiErPu crystal.

Final energy = -74.714 eV/cell
M_tot = 29.31 μB per cell

Unit cell a=6.911 b=6.911 c=6.911 alpha=90.00 beta=90.00 gamma=90.00
Space group F-43m (No. 216)
Inequivalent atoms, fractional coordinates:
1 Li 0.000 0.000 0.000 (multiplicity 4)
2 Er 0.250 0.250 0.750 (multiplicity 4)
3 Pu 0.250 0.250 0.250 (multiplicity 4)


Record 13
The following is a DFT calculation (PBE-GGA) of a relaxed LiErSb crystal.

Final energy = -49.521 eV/cell
M_tot = 0.03 μB per cell

Unit cell a=6.862 b=6.862 c=6.862 alpha=90.00 beta=90.00 gamma=90.00
Space group F-43m (No. 216)
Inequivalent atoms, fractional coordinates:
1 Li 0.000 0.000 0.000 (multiplicity 4)
2 Er 0.000 0.000 0.500 (multiplicity 4)
3 Sb 0.250 0.250 0.750 (multiplicity 4)


Record 14
The following is a DFT calculation (PBE-GGA) of a relaxed LiErSc crystal.

Final energy = -39.601 eV/cell
M_tot = 0.06 μB per cell

Unit cell a=7.057 b=7.057 c=7.057 alpha=90.00 beta=90.00 gamma=90.00
Space group F-43m (No. 216)
Inequivalent atoms, fractional coordinates:
1 Li 0.000 0.000 0.000 (multiplicity 4)
2 Er 0.250 0.250 0.250 (multiplicity 4)
3 Sc 0.000 0.000 0.500 (multiplicity 4)


Record 15
The following is a DFT calculation (PBE-GGA) of a relaxed LiErSc crystal.

Final energy = -44.380 eV/cell
M_tot = 0.47 μB per cell

Unit cell a=6.848 b=6.848 c=6.848 alpha=90.00 beta=90.00 gamma=90.00
Space group F-43m (No. 216)
Inequivalent atoms, fractional coordinates:
1 Li 0.000 0.000 0.000 (multiplicity 4)
2 Er 0.250 0.250 0.750 (multiplicity 4)
3 Sc 0.250 0.250 0.250 (multiplicity 4)


Record 16
The following is a DFT calculation (PBE-GGA) of a relaxed LiErSe2 crystal.

Final energy = -79.140 eV/cell
M_tot = 0.00 μB per cell

Unit cell a=7.990 b=9.588 c=5.630 alpha=90.00 beta=90.00 gamma=90.00
Space group Pna2_1 (No. 33)
Inequivalent atoms, fractional coordinates:
1 Li 0.081 0.126 0.000 (multiplicity 4)
2 Er 0.090 0.630 0.005 (multiplicity 4)
3 Se 0.070 0.121 0.504 (multiplicity 4)
4 Se 0.081 0.621 0.504 (multiplicity 4)


Record 17
The following is a DFT calculation (PBE-GGA) of a relaxed LiEr4Se5 crystal.

Final energy = -109.473 eV/cell
M_tot = 0.00 μB per cell

Unit cell a=8.968 b=8.968 c=5.668 alpha=90.00 beta=90.00 gamma=90.00
Space group I4 (No. 79)
Inequivalent atoms, fractional coordinates:
1 Li 0.000 0.000 0.000 (multiplicity 2)
2 Er 0.100 0.700 0.498 (multiplicity 8)
3 Se 0.000 0.000 0.499 (multiplicity 2)
4 Se 0.096 0.708 0.998 (multiplicity 8)


Record 18
The following is a DFT calculation (PBE-GGA) of a relaxed LiErSi crystal.

Final energy = -52.614 eV/cell
M_tot = 0.00 μB per cell

Unit cell a=6.492 b=6.492 c=6.492 alpha=90.00 beta=90.00 gamma=90.00
Space group F-43m (No. 216)
Inequivalent atoms, fractional coordinates:
1 Li 0.000 0.000 0.000 (multiplicity 4)
2 Er 0.000 0.000 0.500 (multiplicity 4)
3 Si 0.250 0.250 0.750 (multiplicity 4)


Record 19
The following is a DFT calculation (PBE-GGA) of a relaxed Li2Er2Si3 crystal.

Final energy = -133.359 eV/cell
M_tot = 0.03 μB per cell

Unit cell a=4.223 b=17.834 c=6.607 alpha=90.00 beta=90.00 gamma=90.00
Space group Cmcm (No. 63)
Inequivalent atoms, fractional coordinates:
1 Li 0.000 0.190 0.061 (multiplicity 8)
2 Er 0.000 0.344 0.250 (multiplicity 4)
3 Er 0.000 0.448 0.750 (multiplicity 4)
4 Si 0.000 0.060 0.571 (multiplicity 8)
5 Si 0.000 0.279 0.750 (multiplicity 4)


Record 20
The following is a DFT calculation (PBE-GGA) of a relaxed LiErSi2 crystal.

Final energy = -78.062 eV/cell
M_tot = 0.00 μB per cell

Unit cell a=6.548 b=4.082 c=10.694 alpha=90.00 beta=90.00 gamma=90.00
Space group Pnma (No. 62)
Inequivalent atoms, fractional coordinates:
1 Li 0.140 0.250 0.054 (multiplicity 4)
2 Er 0.151 0.250 0.343 (multiplicity 4)
3 Si 0.028 0.250 0.832 (multiplicity 4)
4 Si 0.172 0.250 0.631 (multiplicity 4)